(1)
ScTa2NbGa: PBEsol geometry, SCAN.

Geometry as CIF:
```
data_ScTa2NbGa
_chemical_formula_sum 'Sc1 Ta2 Nb1 Ga1'
_cell_length_a 4.795
_cell_length_b 4.795
_cell_length_c 5.031
_cell_angle_alpha 90.00
_cell_angle_beta 90.00
_cell_angle_gamma 90.00
_space_group_name_H-M_alt 'P 4/m m m'
_space_group_IT_number 123
_space_group_name_Hall '-P 4 2'
loop_
_atom_site_label
_atom_site_type_symbol
_atom_site_fract_x
_atom_site_fract_y
_atom_site_fract_z
Sc1 Sc 0.000 0.000 0.000
Ta1 Ta 0.000 0.500 0.500
Nb1 Nb 0.000 0.000 0.500
Ga1 Ga 0.500 0.500 0.000
```

Its crystal system is tetragonal. The value obtained for the calculated volume is 23.13 Å³/atom. The energy relative to the elements is 660 kJ/mol of formula units.

***

(2)
InBF4: PBEsol geometry, SCAN.

Geometry as CIF:
```
data_InBF4
_chemical_formula_sum 'In4 B4 F16'
_cell_length_a 8.970
_cell_length_b 5.575
_cell_length_c 7.242
_cell_angle_alpha 90.00
_cell_angle_beta 90.00
_cell_angle_gamma 90.00
_space_group_name_H-M_alt 'P n m a'
_space_group_IT_number 62
_space_group_name_Hall '-P 2ac 2n'
loop_
_atom_site_label
_atom_site_type_symbol
_atom_site_fract_x
_atom_site_fract_y
_atom_site_fract_z
In1 In 0.186 0.250 0.167
B1 B 0.064 0.250 0.689
F1 F 0.076 0.750 0.396
F2 F 0.078 0.043 0.803
F3 F 0.180 0.250 0.557
```

Its crystal system is orthorhombic. The value obtained for the formation energy (no corrections) is -2.658 eV per atom. The value obtained for the calculated volume is 15.09 Å³/atom.

***

(3)
TlCd2Au: PBEsol geometry, SCAN.

Geometry as CIF:
```
data_TlCd2Au
_chemical_formula_sum 'Tl1 Cd2 Au1'
_cell_length_a 3.148
_cell_length_b 4.622
_cell_length_c 6.846
_cell_angle_alpha 70.51
_cell_angle_beta 76.79
_cell_angle_gamma 89.92
_space_group_name_H-M_alt 'P 1'
_space_group_IT_number 1
_space_group_name_Hall 'P 1'
loop_
_atom_site_label
_atom_site_type_symbol
_atom_site_fract_x
_atom_site_fract_y
_atom_site_fract_z
Tl1 Tl 0.000 0.000 0.000
Cd1 Cd 0.209 0.707 0.588
Cd2 Cd 0.396 0.397 0.208
Au1 Au 0.710 0.208 0.586
```

Its crystal system is triclinic. The value obtained for the calculated volume is 22.77 Å³/atom. The energy relative to the elements is -24 kJ/mol of formula units.

***

(4)
BaFeP2: PBEsol geometry, SCAN.

Geometry as CIF:
```
data_BaFeP2
_chemical_formula_sum 'Ba1 Fe1 P2'
_cell_length_a 3.216
_cell_length_b 3.216
_cell_length_c 6.896
_cell_angle_alpha 90.00
_cell_angle_beta 90.00
_cell_angle_gamma 90.00
_space_group_name_H-M_alt 'P 4/m m m'
_space_group_IT_number 123
_space_group_name_Hall '-P 4 2'
loop_
_atom_site_label
_atom_site_type_symbol
_atom_site_fract_x
_atom_site_fract_y
_atom_site_fract_z
Ba1 Ba 0.000 0.000 0.000
Fe1 Fe 0.000 0.000 0.500
P1 P 0.500 0.500 0.338
```

Its crystal system is tetragonal. The value obtained for the calculated volume is 17.83 Å³/atom. The energy relative to the elements is -36 kJ/mol of formula units.

***

(5)
SrHgSb2: PBEsol geometry, SCAN.

Geometry as CIF:
```
data_SrHgSb2
_chemical_formula_sum 'Sr1 Hg1 Sb2'
_cell_length_a 4.618
_cell_length_b 4.618
_cell_length_c 5.163
_cell_angle_alpha 90.00
_cell_angle_beta 90.00
_cell_angle_gamma 90.00
_space_group_name_H-M_alt 'P 4 m m'
_space_group_IT_number 99
_space_group_name_Hall 'P 4 -2'
loop_
_atom_site_label
_atom_site_type_symbol
_atom_site_fract_x
_atom_site_fract_y
_atom_site_fract_z
Sr1 Sr 0.000 0.000 0.000
Hg1 Hg 0.500 0.500 0.071
Sb1 Sb 0.000 0.500 0.509
```

Its crystal system is tetragonal. The value obtained for the formation energy (no corrections) is -0.524 eV per atom. The value obtained for the calculated volume is 27.53 Å³/atom.

***

Among the records above, which one has the lowest calculated volume? InBF4